This record from Alexandria via LeMat-Bulk describes LiCoIrRh after structural relaxation. The functional is GGA-PBE.

Computed properties:
total energy: -6.266 eV/atom
DOS(E_F): 1.459 states/eV/atom

The structure in CIF format:
```
data_LiCoIrRh
_chemical_formula_sum 'Li1 Co1 Ir1 Rh1'
_cell_length_a 4.157
_cell_length_b 4.157
_cell_length_c 4.157
_cell_angle_alpha 60.00
_cell_angle_beta 60.00
_cell_angle_gamma 60.00
_symmetry_space_group_name_H-M 'P 1'
_symmetry_Int_Tables_number 1
_symmetry_space_group_name_Hall 'P 1'
loop_
_atom_site_label
_atom_site_fract_x
_atom_site_fract_y
_atom_site_fract_z
_atom_site_occupancy
Li1 0.000 0.000 0.000 1
Co1 0.500 0.500 0.500 1
Ir1 0.250 0.250 0.250 1
Rh1 0.750 0.750 0.750 1
```